CaGa5Au7 | PBE-GGA | relaxed

a b c (Å): 7.118 7.118 7.118
angles (deg): 132.28 97.99 100.85
Atoms (fractional coordinates):
1 Ca 0.000 0.000 0.000
2 Ga 0.484 0.497 0.501
3 Ga 0.484 0.982 0.987
4 Ga 0.754 0.254 0.500
5 Ga 0.995 0.497 0.013
6 Ga 0.995 0.982 0.499
7 Au 0.174 0.477 0.697
8 Au 0.222 0.722 0.500
9 Au 0.331 0.331 0.000
10 Au 0.335 0.003 0.333
11 Au 0.670 0.003 0.667
12 Au 0.675 0.675 0.000
13 Au 0.781 0.477 0.303

## Properties
E_form = -0.27 eV/atom
Electronic total energy = -3.350 eV per atom